# 1
Material: TaIn2Cl
Method: DFT, PBE
State: optimized geometry

Lattice parameters (Å, degrees): 5.0797 3.0694 6.2694 60.75 90.00 90.00
Closest atoms and distances in Å follow each position.
Positions (direct):
In 0.0000 0.0033 0.0029  2 In 2.70-2.77
In 0.0000 0.4967 0.4971  2 In 2.70-2.77
Cl 0.5000 0.7500 0.7500  2 Ta 2.73
Ta 0.5000 0.2500 0.2500  2 Cl 2.73

## Properties
**Formation energy without anion corrections**: 0.28 eV per atom
**N(E_F)**: 3.39 states/eV/f.u.
**M_tot**: 0.000 μB per atom
**Uncorrected energy**: -0.332 Ry/atom
**Symmetry**: No. 10
**Energy above the lowest structure with this stoichiometry**: 509 meV per atom



# 2
Material: La4TbCo2
Method: DFT, PBE
State: optimized geometry

Lattice parameters (Å, degrees): 6.7278 7.9621 7.6563 110.96 90.00 90.00
Closest atoms and distances in Å follow each position.
Positions (direct):
Tb 0.2500 0.8454 0.9826  2 Co 2.75-2.96
La 0.9916 0.5826 0.2325  4 Co 3.05-3.36, 3 La 3.25-3.35
La 0.7500 0.0387 0.3881  1 Co 2.46
Co 0.2500 0.6505 0.6048  1 La 2.46, 1 Tb 2.75
La 0.4916 0.4174 0.7675  4 Co 3.05-3.36, 3 La 3.25-3.35
Co 0.2500 0.2151 0.9784  1 La 2.38
Co 0.7500 0.7849 0.0216  1 La 2.38
La 0.0084 0.4174 0.7675  4 Co 3.05-3.36, 3 La 3.25-3.35
La 0.2500 0.2516 0.3013  1 Co 2.38
Tb 0.7500 0.1546 0.0174  2 Co 2.75-2.96
Co 0.7500 0.3495 0.3952  1 La 2.46, 1 Tb 2.75
La 0.2500 0.9613 0.6119  1 Co 2.46
La 0.5084 0.5826 0.2325  4 Co 3.05-3.36, 3 La 3.25-3.35
La 0.7500 0.7484 0.6987  1 Co 2.38

## Properties
**N(E_F)**: 8.11 states/eV/f.u.
**M_tot**: 0.000 μB per atom
**Uncorrected energy**: -0.406 Ry/atom
**Symmetry**: No. 11
**E_form**: -0.013 eV/atom



# 3
Material: Y3Tc
Method: DFT, PBE
State: optimized geometry

Lattice parameters (Å, degrees): 4.8134 5.7991 7.2509 90.00 90.00 90.00
Closest atoms and distances in Å follow each position.
Positions (direct):
Y 0.0000 0.8076 0.2627  3 Tc 3.00-3.34, 5 Y 3.13-3.29
Y 0.0000 0.8076 0.7373  3 Tc 3.00-3.34, 5 Y 3.13-3.29
Tc 0.5000 0.7199 0.5000  8 Y 3.00-3.34
Tc 0.0000 0.2801 0.0000  8 Y 3.00-3.34
Y 0.5000 0.1924 0.2373  3 Tc 3.00-3.34, 5 Y 3.13-3.29
Y 0.0000 0.3563 0.5000  6 Y 3.13-3.21, 2 Tc 3.20
Y 0.5000 0.6437 0.0000  6 Y 3.13-3.21, 2 Tc 3.20
Y 0.5000 0.1924 0.7627  3 Tc 3.00-3.34, 5 Y 3.13-3.29

## Properties
**N(E_F)**: 3.67 states/eV/f.u.
**M_tot**: 0.000 μB per atom
**Uncorrected energy**: -0.535 Ry/atom
**Symmetry**: No. 59
**E_form**: 0.162 eV/atom



# 4
Material: K2VCdRu
Method: DFT, PBE
State: optimized geometry

Lattice parameters (Å, degrees): 6.4868 4.4408 6.4868 90.00 90.00 90.00
Closest atoms and distances in Å follow each position.
Positions (direct):
K 0.5000 0.0000 0.0000  2 Ru 3.24
Ru 0.0000 0.0000 0.0000  2 V 2.22
Cd 0.5000 0.5000 0.5000  8 K 3.93
K 0.0000 0.0000 0.5000  2 Ru 3.24
V 0.0000 0.5000 0.0000  2 Ru 2.22

## Properties
**N(E_F)**: 5.66 states/eV/f.u.
**M_tot**: 0.428 μB per atom
**Uncorrected energy**: -0.251 Ry/atom
**Symmetry**: No. 123
**E_form**: 0.888 eV/atom



# 5
Material: AgOsCl6
Method: DFT, PBE
State: optimized geometry

Lattice parameters (Å, degrees): 6.6583 6.6583 6.4157 98.50 98.50 121.80
Closest atoms and distances in Å follow each position.
Positions (direct):
Ag 0.0000 0.0000 0.0000  6 Cl 2.71-2.89
Cl 0.7273 0.7273 0.2826  1 Os 2.32
Cl 0.5713 0.8544 0.7210  1 Os 2.33
Cl 0.2727 0.2727 0.7174  1 Os 2.32
Cl 0.4287 0.1456 0.2790  1 Os 2.33
Cl 0.8544 0.5713 0.7210  1 Os 2.33
Os 0.5000 0.5000 0.5000  6 Cl 2.32-2.33
Cl 0.1456 0.4287 0.2790  1 Os 2.33

## Properties
**Formation energy without anion corrections**: -0.40 eV per atom
**N(E_F)**: 2.40 states/eV/f.u.
**M_tot**: 0.380 μB per atom
**Uncorrected energy**: -0.260 Ry/atom
**Symmetry**: No. 12
**Energy above the lowest structure with this stoichiometry**: 10 meV per atom



# 6
Material: Sc5In2GaIr2
Method: DFT, PBE
State: optimized geometry

Lattice parameters (Å, degrees): 3.3656 11.2003 11.2003 90.00 90.00 90.00
Closest atoms and distances in Å follow each position.
Positions (direct):
Ga 0.0000 0.0000 0.0000  8 Sc 2.91
Ir 0.0000 0.6330 0.8670  6 Sc 2.62-2.70
Ir 0.0000 0.3670 0.1330  6 Sc 2.62-2.70
Ir 0.0000 0.8670 0.3670  6 Sc 2.62-2.70
Ir 0.0000 0.1330 0.6330  6 Sc 2.62-2.70
Sc 0.5000 0.5000 0.0000  4 Ir 2.70
Sc 0.5000 0.0000 0.5000  4 Ir 2.70
Sc 0.5000 0.9267 0.1984  2 Ir 2.62, 2 Ga 2.91
Sc 0.5000 0.4267 0.3016  2 Ir 2.62, 2 Ga 2.91
In 0.0000 0.3276 0.8276  3 Ir 3.08-3.45, 6 Sc 3.21-3.32, 2 In 3.37
In 0.0000 0.8276 0.6724  3 Ir 3.08-3.45, 6 Sc 3.21-3.32, 2 In 3.37
In 0.0000 0.6724 0.1724  3 Ir 3.08-3.45, 6 Sc 3.21-3.32, 2 In 3.37
Sc 0.5000 0.0733 0.8016  2 Ir 2.62, 2 Ga 2.91
Sc 0.5000 0.3016 0.5733  2 Ir 2.62, 2 Ga 2.91
Ga 0.0000 0.5000 0.5000  8 Sc 2.91
Sc 0.5000 0.1984 0.0733  2 Ir 2.62, 2 Ga 2.91
Sc 0.5000 0.5733 0.6984  2 Ir 2.62, 2 Ga 2.91
Sc 0.5000 0.6984 0.4267  2 Ir 2.62, 2 Ga 2.91
In 0.0000 0.1724 0.3276  3 Ir 3.08-3.45, 6 Sc 3.21-3.32, 2 In 3.37
Sc 0.5000 0.8016 0.9267  2 Ir 2.62, 2 Ga 2.91

## Properties
**N(E_F)**: 5.19 states/eV/f.u.
**M_tot**: 0.000 μB per atom
**Uncorrected energy**: -0.472 Ry/atom
**Symmetry**: No. 127
**E_form**: -0.627 eV/atom



# 7
Material: AcPm2Cu2
Method: DFT, PBE
State: optimized geometry

Lattice parameters (Å, degrees): 4.8470 5.1437 11.2130 95.94 90.00 90.00
Closest atoms and distances in Å follow each position.
Positions (direct):
Pm 0.2500 0.8385 0.8861  5 Cu 2.82-3.02
Ac 0.7500 0.3029 0.7581  1 Cu 3.09
Pm 0.2500 0.2499 0.5057  4 Cu 2.88-2.94
Pm 0.7500 0.1615 0.1139  5 Cu 2.82-3.02
Ac 0.2500 0.6971 0.2419  1 Cu 3.09
Cu 0.7500 0.6313 0.0053  2 Cu 2.77, 4 Pm 2.82-3.02, 1 Ac 3.09
Cu 0.7500 0.2216 0.3667  5 Pm 2.82-2.94
Pm 0.7500 0.7501 0.4943  4 Cu 2.88-2.94
Cu 0.2500 0.3687 0.9947  2 Cu 2.77, 4 Pm 2.82-3.02, 1 Ac 3.09
Cu 0.2500 0.7784 0.6333  5 Pm 2.82-2.94

## Properties
**N(E_F)**: 4.83 states/eV/f.u.
**M_tot**: 0.000 μB per atom
**Uncorrected energy**: -0.328 Ry/atom
**Symmetry**: No. 11
**E_form**: -0.097 eV/atom



# 8
Material: MnTlHg2
Method: DFT, PBE
State: optimized geometry

Lattice parameters (Å, degrees): 5.3378 5.3378 6.7356 62.20 62.20 35.76
Closest atoms and distances in Å follow each position.
Positions (direct):
Hg 0.8025 0.8025 0.5836  3 Mn 2.81-2.91
Mn 0.4922 0.4922 0.6724  5 Hg 2.81-2.91, 2 Tl 3.05
Tl 0.1915 0.1915 0.2483  3 Hg 3.03-3.29, 2 Mn 3.05, 2 Tl 3.28
Hg 0.0138 0.0138 0.9957  2 Mn 2.82, 1 Tl 3.03

## Properties
**N(E_F)**: 2.23 states/eV/f.u.
**M_tot**: 1.018 μB per atom
**Uncorrected energy**: -0.202 Ry/atom
**Symmetry**: No. 8
**E_form**: 0.289 eV/atom